Record 1
! PdW2Au PBE optimized geometry; values from VASP
&SYSTEM
  ibrav = 0, nat = 4, ntyp = 3
/
ATOMIC_SPECIES
Pd 106.42 Pd.upf
W 183.84 W.upf
Au 196.97 Au.upf
CELL_PARAMETERS angstrom
0.000 3.203 3.203
3.203 0.000 3.203
3.203 3.203 0.000
ATOMIC_POSITIONS angstrom
Pd 0.000 0.000 0.000
W 1.602 1.602 1.602
W 4.805 4.805 4.805
Au 3.203 3.203 3.203
! **DFT total energy**: -7.87 eV per atom
! **Magnetization**: 0.00 μB per cell
! **Space-group type**: Fm-3m, No. 225
! **Offset from the most stable computed form**: 0 meV/atom
! **ΔH_f (0 K)**: 0.720 eV/atom
! **D(E_F)**: 5.6 states/eV/cell

---

Record 2
! Pd6WAu2 PBE optimized geometry; values from VASP
&SYSTEM
  ibrav = 0, nat = 9, ntyp = 3
/
ATOMIC_SPECIES
Pd 106.42 Pd.upf
W 183.84 W.upf
Au 196.97 Au.upf
CELL_PARAMETERS angstrom
6.841 -1.385 0.000
6.841 1.385 0.000
-5.205 0.000 7.887
ATOMIC_POSITIONS angstrom
Pd -0.628 0.000 2.308
Pd -0.108 0.000 4.962
Pd 3.853 0.000 1.637
Pd 4.623 0.000 6.250
Pd 8.585 0.000 2.925
Pd 9.104 0.000 5.578
W -2.602 0.000 3.943
Au 1.407 0.000 0.358
Au 7.070 0.000 7.529
! **DFT total energy**: -5.61 eV per atom
! **Magnetization**: 0.00 μB per cell
! **Space-group type**: C2/m, No. 12
! **ΔH_f (0 K)**: 0.018 eV/atom
! **D(E_F)**: 5.0 states/eV/cell

---

Record 3
! Y2Pd5Au PBE optimized geometry; values from VASP
&SYSTEM
  ibrav = 0, nat = 16, ntyp = 3
/
ATOMIC_SPECIES
Y 88.91 Y.upf
Pd 106.42 Pd.upf
Au 196.97 Au.upf
CELL_PARAMETERS angstrom
5.840 0.000 0.000
0.000 11.674 0.000
0.000 0.000 4.205
ATOMIC_POSITIONS angstrom
Y 1.370 1.513 0.000
Y 1.551 7.350 0.000
Y 4.290 4.325 0.000
Y 4.471 10.162 0.000
Pd 0.000 0.000 2.102
Pd 0.084 8.759 2.102
Pd 1.400 4.404 0.000
Pd 1.520 10.241 0.000
Pd 2.836 2.922 2.102
Pd 2.920 5.837 2.102
Pd 3.004 8.753 2.102
Pd 4.320 1.433 0.000
Pd 4.441 7.271 0.000
Pd 5.756 2.916 2.102
Au 0.000 5.837 2.102
Au 2.920 0.000 2.102
! **DFT total energy**: -6.14 eV per atom
! **Magnetization**: 0.00 μB per cell
! **Space-group type**: Pbam, No. 55
! **Offset from the most stable computed form**: 0 meV/atom
! **ΔH_f (0 K)**: -0.873 eV/atom
! **D(E_F)**: 3.0 states/eV/cell

---

Record 4
! YPd7Au4 PBE optimized geometry; values from VASP
&SYSTEM
  ibrav = 0, nat = 12, ntyp = 3
/
ATOMIC_SPECIES
Y 88.91 Y.upf
Pd 106.42 Pd.upf
Au 196.97 Au.upf
CELL_PARAMETERS angstrom
4.963 0.000 0.000
-0.011 5.812 0.000
-2.440 -1.563 7.073
ATOMIC_POSITIONS angstrom
Y 0.000 0.000 0.000
Pd -0.006 2.906 0.000
Pd -1.634 2.840 4.731
Pd 0.822 4.293 4.723
Pd 2.479 1.479 0.003
Pd 0.034 2.771 7.070
Pd 1.690 -0.044 2.350
Pd 4.147 1.409 2.342
Au -1.606 -0.037 4.693
Au 1.646 2.845 2.337
Au 0.867 1.405 4.737
Au 4.119 4.287 2.380
! **DFT total energy**: -5.00 eV per atom
! **Magnetization**: 0.00 μB per cell
! **Space-group type**: P-1, No. 2
! **Offset from the most stable computed form**: 0 meV/atom
! **ΔH_f (0 K)**: -0.337 eV/atom
! **D(E_F)**: 4.0 states/eV/cell

---

Record 5
! YPd7Au4 PBE optimized geometry; values from VASP
&SYSTEM
  ibrav = 0, nat = 12, ntyp = 3
/
ATOMIC_SPECIES
Y 88.91 Y.upf
Pd 106.42 Pd.upf
Au 196.97 Au.upf
CELL_PARAMETERS angstrom
5.120 -2.502 0.000
5.120 2.502 0.000
-4.917 0.000 8.605
ATOMIC_POSITIONS angstrom
Y 0.000 0.000 0.000
Pd -1.100 0.000 3.918
Pd 2.557 0.000 0.725
Pd 1.646 0.000 3.268
Pd 5.120 0.000 0.000
Pd 3.676 0.000 5.337
Pd 2.765 0.000 7.881
Pd 6.422 0.000 4.688
Au -1.890 0.000 6.640
Au 0.852 0.000 5.897
Au 4.470 0.000 2.708
Au 7.212 0.000 1.965
! **DFT total energy**: -4.77 eV per atom
! **Magnetization**: 0.00 μB per cell
! **Space-group type**: C2/m, No. 12
! **Offset from the most stable computed form**: 222 meV/atom
! **ΔH_f (0 K)**: -0.115 eV/atom
! **D(E_F)**: 6.7 states/eV/cell

---

Record 6
! YPd6Au23 PBE optimized geometry; values from VASP
&SYSTEM
  ibrav = 0, nat = 30, ntyp = 3
/
ATOMIC_SPECIES
Y 88.91 Y.upf
Pd 106.42 Pd.upf
Au 196.97 Au.upf
CELL_PARAMETERS angstrom
-4.078 4.078 8.281
4.078 -4.078 8.281
4.078 4.078 -8.281
ATOMIC_POSITIONS angstrom
Y 0.000 0.000 0.000
Pd 0.000 0.000 4.111
Pd 2.031 2.031 0.000
Pd 2.047 -2.047 8.281
Pd -2.047 2.047 8.281
Pd 2.047 2.047 8.281
Pd 0.000 0.000 12.452
Au 2.039 2.039 -4.141
Au 2.039 -2.039 4.141
Au 4.078 0.000 0.000
Au 4.078 2.047 -2.094
Au 4.078 -1.983 6.146
Au 2.095 0.000 2.136
Au 6.062 0.000 2.136
Au 2.047 4.078 -2.094
Au 2.031 0.000 6.187
Au 4.078 2.047 2.094
Au 0.000 2.095 2.136
Au -2.039 2.039 4.141
Au 0.000 4.078 0.000
Au 0.000 0.000 8.281
Au 2.039 2.039 4.141
Au 4.078 1.983 6.146
Au 0.000 2.031 6.187
Au 2.047 4.078 2.094
Au 2.031 0.000 10.376
Au -1.983 4.078 6.146
Au 1.983 4.078 6.146
Au 0.000 6.062 2.136
Au 0.000 2.031 10.376
! **DFT total energy**: -3.91 eV per atom
! **Magnetization**: 0.00 μB per cell
! **Space-group type**: I4/mmm, No. 139
! **ΔH_f (0 K)**: -0.139 eV/atom
! **D(E_F)**: 8.7 states/eV/cell

---

Record 7
! YPd2Au PBE optimized geometry; values from VASP
&SYSTEM
  ibrav = 0, nat = 4, ntyp = 3
/
ATOMIC_SPECIES
Y 88.91 Y.upf
Pd 106.42 Pd.upf
Au 196.97 Au.upf
CELL_PARAMETERS angstrom
4.245 0.000 0.000
0.000 4.245 0.000
0.000 0.000 4.064
ATOMIC_POSITIONS angstrom
Y 0.000 0.000 0.000
Pd 0.000 2.122 2.032
Pd 2.122 0.000 2.032
Au 2.122 2.122 0.000
! **DFT total energy**: -5.86 eV per atom
! **Magnetization**: 0.00 μB per cell
! **Space-group type**: P4/mmm, No. 123
! **Offset from the most stable computed form**: 0 meV/atom
! **ΔH_f (0 K)**: -0.824 eV/atom
! **D(E_F)**: 1.1 states/eV/cell

---

Record 8
! Y2Pd6Au PBE optimized geometry; values from VASP
&SYSTEM
  ibrav = 0, nat = 9, ntyp = 3
/
ATOMIC_SPECIES
Y 88.91 Y.upf
Pd 106.42 Pd.upf
Au 196.97 Au.upf
CELL_PARAMETERS angstrom
4.952 -2.767 0.000
4.952 2.767 0.000
-0.876 0.000 6.223
ATOMIC_POSITIONS angstrom
Y 1.508 0.000 1.031
Y 7.520 0.000 5.192
Pd 3.850 1.444 1.929
Pd 2.582 0.000 3.940
Pd 5.178 1.444 4.294
Pd 3.850 -1.444 1.929
Pd 6.445 0.000 2.283
Pd 5.178 -1.444 4.294
Au 4.952 0.000 0.000
! **DFT total energy**: -5.88 eV per atom
! **Magnetization**: 0.00 μB per cell
! **Space-group type**: C2/m, No. 12
! **Offset from the most stable computed form**: 26 meV/atom
! **ΔH_f (0 K)**: -0.621 eV/atom
! **D(E_F)**: 4.7 states/eV/cell